Density functional theory data (GGA-PBE) for crystalline Li10Zn6Cd at its relaxed geometry.

```
17
Lattice="5.4635 0.0000 0.0000 0.0000 6.6521 -3.8406 0.0000 0.0000 7.6812" Properties=species:S:1:pos:R:3 pbc="T T T"
Li 4.5715 4.6455 2.6821
Li 4.5715 0.0000 2.3170
Li 4.5715 2.0066 -1.1585
Li 0.8920 2.0066 1.1585
Li 0.8920 0.0000 5.3641
Li 0.8920 4.6455 -2.6821
Li 2.7318 2.2174 3.8406
Li 2.7318 4.4347 0.0000
Li 0.0000 4.4347 0.0000
Li 0.0000 2.2174 3.8406
Zn 3.5652 2.3839 1.3763
Zn 3.5652 0.0000 4.9285
Zn 3.5652 4.2682 -2.4643
Zn 1.8983 4.2682 2.4643
Zn 1.8983 0.0000 2.7526
Zn 1.8983 2.3839 -1.3763
Cd 2.7318 0.0000 0.0000
```

Computed properties:
Its crystal system is trigonal.

Density functional theory data (GGA-PBE) for crystalline LiZnCd2 at its relaxed geometry.

```
4
Lattice="4.6011 0.0000 0.0000 0.0000 2.9807 0.0200 0.0000 1.4504 5.6171" Properties=species:S:1:pos:R:3 pbc="T T T"
Zn 2.3006 3.8810 4.1184
Li 0.0000 2.3968 2.9918
Cd 0.0000 3.8791 5.6096
Cd 2.3006 0.9207 1.3729
```

Computed properties:
Its crystal system is monoclinic.

Density functional theory data (GGA-PBE) for crystalline Li12ZnCd3 at its relaxed geometry.

```
16
Lattice="-0.6317 4.0393 1.1230 -0.7809 -1.2291 3.9819 15.5795 1.4617 3.5067" Properties=species:S:1:pos:R:3 pbc="T T T"
Li -0.7063 1.4051 2.5524
Li 3.0809 1.7604 3.4049
Li 7.0834 2.1359 4.3058
Li 11.0859 2.5114 5.2066
Li 1.4995 2.1900 0.9701
Li 5.4684 2.5623 1.8634
Li 9.4794 2.9386 2.7662
Li 13.4482 3.3110 3.6596
Li 1.4249 -0.4442 2.3995
Li 5.3938 -0.0719 3.2929
Li 9.4048 0.3044 4.1957
Li 13.3736 0.6768 5.0890
Zn 0.0000 0.0000 0.0000
Cd 3.7932 0.3559 0.8538
Cd 7.7897 0.7308 1.7533
Cd 11.7863 1.1058 2.6529
```

Computed properties:
Its crystal system is tetragonal.

Density functional theory data (GGA-PBE) for crystalline Li4ZnCd7 at its relaxed geometry.

```
12
Lattice="-3.0384 4.1058 0.0148 -9.1039 -0.2922 -3.7250 -3.3855 -2.5209 4.0963" Properties=species:S:1:pos:R:3 pbc="T T T"
Li -5.8986 0.4475 1.5496
Li -9.6292 0.8451 -1.1635
Li -11.1718 -0.3242 0.8009
Li -4.3560 1.6169 -0.4148
Zn 0.0000 0.0000 0.0000
Cd -12.7060 1.8058 -1.2171
Cd -2.8218 -0.5131 1.6032
Cd -6.8223 -0.1848 -1.6619
Cd -8.7056 1.4775 2.0479
Cd -8.0763 -1.2291 0.8682
Cd -1.5192 2.0529 0.0074
Cd -7.4515 2.5217 -0.4821
```

Computed properties:
Its crystal system is triclinic.

Density functional theory data (GGA-PBE) for crystalline Li17Zn11Cd at its relaxed geometry.

```
29
Lattice="8.0194 -0.0742 -2.9011 -4.0203 6.9393 -2.9011 -0.0292 -0.0501 8.6452" Properties=species:S:1:pos:R:3 pbc="T T T"
Li 0.0155 0.0267 3.0090
Li 2.7897 4.7890 -1.6391
Li 2.5422 4.3640 1.8405
Li 1.6216 2.7838 3.9075
Li 3.9603 6.7984 2.8452
Li 0.0844 4.0401 5.9788
Li 0.3229 5.0454 0.2617
Li 6.7318 2.0386 1.3137
Li 6.5763 2.3982 -3.9169
Li -0.5890 4.6955 3.1499
Li 0.7115 6.8678 -1.9161
Li 5.6231 4.0066 -1.9161
Li 4.3750 1.8038 3.1499
Li -1.1578 6.9035 -3.9169
Li -1.5473 6.8614 1.3137
Li 4.2296 2.7696 0.2617
Li 3.4727 2.0663 5.9788
Zn 0.7006 1.2026 5.8677
Zn 1.7575 5.5415 4.4417
Zn -0.0444 2.5447 1.6781
Zn 2.4627 6.8286 0.2246
Zn 1.0088 6.8331 2.3114
Zn 5.7890 1.2228 -1.3044
Zn -1.7919 5.6389 -1.3044
Zn 5.4463 4.2481 2.3114
Zn 4.7252 5.5106 0.2246
Zn 2.2354 1.2166 1.6781
Zn 3.9535 4.2622 4.4417
Cd 1.5126 2.5966 -0.5908
```

Computed properties:
Its crystal system is monoclinic.

Density functional theory data (GGA-PBE) for crystalline Li3ZnCd4 at its relaxed geometry.

```
8
Lattice="-1.9663 4.1847 -0.6886 -3.6540 -2.0564 -2.0630 -3.8366 -3.5588 5.1954" Properties=species:S:1:pos:R:3 pbc="T T T"
Li -1.8270 -1.0282 -1.0315
Li -3.3403 -1.2500 1.9415
Li -6.1166 -0.1805 0.5023
Zn -0.9831 2.0923 -0.3443
Cd -3.5660 0.9555 0.1222
Cd -5.8909 -2.3860 2.3216
Cd -5.0410 0.7379 3.0115
Cd -4.4159 -2.1684 -0.5677
```

Computed properties:
Its crystal system is monoclinic. As for the offset from the most stable computed form: 4 meV/atom.

Density functional theory data (GGA-PBE) for crystalline Li15Zn2Cd2 at its relaxed geometry.

```
19
Lattice="-6.1604 1.2838 3.7565 -0.3297 -4.2378 5.9701 1.4090 3.9083 6.0374" Properties=species:S:1:pos:R:3 pbc="T T T"
Li -0.1648 -2.1189 2.9851
Li 0.7045 1.9542 3.0187
Li -3.0802 0.6419 1.8782
Li -0.8016 3.1419 5.3712
Li -4.4576 -0.3287 4.4029
Li 0.1781 -1.8588 5.9898
Li -2.0325 -2.6252 5.3236
Li 0.9012 1.5293 6.0177
Li -3.9498 2.0503 4.4226
Li -2.3403 -1.1635 9.1051
Li -1.6920 1.8736 9.1302
Li -4.5142 0.8951 8.2798
Li -2.7408 2.1179 6.6589
Li -3.3891 -0.9193 6.6338
Li -0.5669 0.0592 7.4842
Zn -4.6142 0.8666 14.3155
Zn -0.4669 0.0877 1.4485
Cd -3.6436 0.6843 11.3042
Cd -1.4375 0.2700 4.4597
```

Computed properties:
Its crystal system is trigonal.

Density functional theory data (GGA-PBE) for crystalline LiZnCd2 at its relaxed geometry.

```
4
Lattice="-4.4010 -0.4841 0.5214 0.4405 -4.4137 -0.4449 0.4707 -0.3233 3.6730" Properties=species:S:1:pos:R:3 pbc="T T T"
Zn 0.4556 -2.3685 1.6141
Li -1.9652 -0.4037 2.0972
Cd 0.0000 0.0000 0.0000
Cd -1.9803 -2.4489 0.0382
```

Computed properties:
Its crystal system is orthorhombic.

We obtain energy relative to the elements values of -125, -108, -146, -164, -152, -204, -22, -128 meV/atom for the records listed above, in that order.